Compound: MoOsCl2F
Source: Alexandria via LeMat-Bulk
Functional: GGA+U
Structure: relaxed

Values from the calculation:
Magnetic moment: 8.15 μB/f.u.
E: -4.388 eV per atom

Cell: 5.273 4.174 5.273 Å, 90.00 90.00 90.00°
Atoms (fractional coordinates):
Mo 0.000 0.000 0.000
F 0.000 0.500 0.000
Os 0.500 0.500 0.500
Cl 0.000 0.000 0.500
Cl 0.500 0.000 0.000

Compound: MoOsClF2
Source: Alexandria via LeMat-Bulk
Functional: GGA+U
Structure: relaxed

Values from the calculation:
Magnetic moment: 0.62 μB/f.u.
E: -5.146 eV per atom

Cell: 4.069 5.284 4.069 Å, 90.00 90.00 90.00°
Atoms (fractional coordinates):
Mo 0.000 0.000 0.000
F 0.000 0.000 0.500
F 0.500 0.000 0.000
Os 0.000 0.500 0.000
Cl 0.500 0.500 0.500

Compound: MoPCl2F
Source: Alexandria via LeMat-Bulk
Functional: GGA+U
Structure: relaxed

Values from the calculation:
Magnetic moment: 3.60 μB/f.u.
Energy above the lowest structure with this stoichiometry: 0.1011 eV per atom

Cell: 5.416 5.416 3.642 Å, 90.00 90.00 90.00°
Atoms (fractional coordinates):
P 0.000 0.000 0.500
Mo 0.500 0.500 0.500
F 0.000 0.000 0.000
Cl 0.000 0.500 0.000
Cl 0.500 0.000 0.000

Compound: MoPCl2F
Source: Alexandria via LeMat-Bulk
Functional: GGA+U
Structure: relaxed

Values from the calculation:
Magnetic moment: 0.00 μB/f.u.
Energy above the lowest structure with this stoichiometry: 0.0000 eV per atom

Cell: 4.752 4.752 4.711 Å, 90.00 90.00 90.00°
Atoms (fractional coordinates):
P 0.000 0.000 0.500
Mo 0.000 0.000 0.000
F 0.500 0.500 0.500
Cl 0.000 0.500 0.000
Cl 0.500 0.000 0.000